1.
# Ti5CuIr4, relaxed, DFT PBE
data_Ti5CuIr4
_cell_length_a 3.1620
_cell_length_b 3.1620
_cell_length_c 15.0823
_cell_angle_alpha 90.00
_cell_angle_beta 90.00
_cell_angle_gamma 90.00
_space_group_name_H-M_alt 'P 4/m m m'
_space_group_IT_number 123
_space_group_name_Hall '-P 4 2'
loop_
_atom_site_label
_atom_site_fract_x
_atom_site_fract_y
_atom_site_fract_z
Ti1 0.0000 0.0000 0.0000
Ti2 0.0000 0.0000 0.2015
Ti3 0.0000 0.0000 0.4017
Cu1 0.5000 0.5000 0.5000
Ir1 0.5000 0.5000 0.0993
Ir2 0.5000 0.5000 0.3001
# - Density of states at the Fermi level: 8.3 states/eV/cell
# - Formation enthalpy at 0 K: -6.66 eV/f.u.


2.
# GaCuW3, relaxed, DFT PBE
data_GaCuW3
_cell_length_a 4.5064
_cell_length_b 4.5064
_cell_length_c 4.5064
_cell_angle_alpha 90.00
_cell_angle_beta 90.00
_cell_angle_gamma 90.00
_space_group_name_H-M_alt 'P m -3 m'
_space_group_IT_number 221
_space_group_name_Hall '-P 4 2 3'
loop_
_atom_site_label
_atom_site_fract_x
_atom_site_fract_y
_atom_site_fract_z
Ga1 0.0000 0.0000 0.0000
Cu1 0.5000 0.5000 0.5000
W1 0.0000 0.5000 0.5000
# - Density of states at the Fermi level: 7.2 states/eV/cell
# - Formation enthalpy at 0 K: 9.01 eV/f.u.
# - Offset from the most stable computed form: 0.0 meV per atom


3.
# Y3BAs, relaxed, DFT PBE
data_Y3BAs
_cell_length_a 4.9451
_cell_length_b 4.9451
_cell_length_c 4.9451
_cell_angle_alpha 90.00
_cell_angle_beta 90.00
_cell_angle_gamma 90.00
_space_group_name_H-M_alt 'P m -3 m'
_space_group_IT_number 221
_space_group_name_Hall '-P 4 2 3'
loop_
_atom_site_label
_atom_site_fract_x
_atom_site_fract_y
_atom_site_fract_z
Y1 0.0000 0.0000 0.5000
B1 0.0000 0.0000 0.0000
As1 0.5000 0.5000 0.5000
# - Density of states at the Fermi level: 3.0 states/eV/cell
# - Formation enthalpy at 0 K: -2.27 eV/f.u.
# - Offset from the most stable computed form: 0.0 meV per atom


4.
# BaYN2, relaxed, DFT PBE
data_BaYN2
_cell_length_a 6.3339
_cell_length_b 6.3339
_cell_length_c 8.6820
_cell_angle_alpha 90.00
_cell_angle_beta 90.00
_cell_angle_gamma 90.00
_space_group_name_H-M_alt 'I -4 2 d'
_space_group_IT_number 122
_space_group_name_Hall 'I -4 2bw'
loop_
_atom_site_label
_atom_site_fract_x
_atom_site_fract_y
_atom_site_fract_z
Ba1 0.0000 0.0000 0.0000
Y1 0.0000 0.0000 0.5000
N1 0.1909 0.2500 0.6250
# - Density of states at the Fermi level: 15.1 states/eV/cell
# - Uncorrected formation energy: -0.64 eV per atom


5.
# TbPuRu, relaxed, DFT PBE
data_TbPuRu
_cell_length_a 5.0237
_cell_length_b 5.0237
_cell_length_c 19.5208
_cell_angle_alpha 90.00
_cell_angle_beta 90.00
_cell_angle_gamma 120.00
_space_group_name_H-M_alt 'R -3 m'
_space_group_IT_number 166
_space_group_name_Hall '-R 3 2"'
loop_
_atom_site_label
_atom_site_fract_x
_atom_site_fract_y
_atom_site_fract_z
Tb1 0.0000 0.0000 0.1219
Pu1 0.0000 0.0000 0.2970
Ru1 0.0000 0.0000 0.4330
# - Density of states at the Fermi level: 47.3 states/eV/cell
# - Formation enthalpy at 0 K: -0.13 eV/f.u.
# - Offset from the most stable computed form: 146.5 meV per atom


6.
# SnCl, relaxed, DFT PBE
data_SnCl
_cell_length_a 9.3699
_cell_length_b 9.3699
_cell_length_c 9.3699
_cell_angle_alpha 90.00
_cell_angle_beta 90.00
_cell_angle_gamma 90.00
_space_group_name_H-M_alt 'I -4 3 m'
_space_group_IT_number 217
_space_group_name_Hall 'I -4 2 3'
loop_
_atom_site_label
_atom_site_fract_x
_atom_site_fract_y
_atom_site_fract_z
Sn1 0.1658 0.1658 0.8342
Cl1 0.1327 0.1327 0.1327
# - Density of states at the Fermi level: 14.4 states/eV/cell
# - Uncorrected formation energy: -0.04 eV per atom


7.
# Ac5TbPm2Y, relaxed, DFT PBE
data_Ac5TbPm2Y
_cell_length_a 5.8252
_cell_length_b 22.6296
_cell_length_c 11.0999
_cell_angle_alpha 90.00
_cell_angle_beta 90.00
_cell_angle_gamma 90.00
_space_group_name_H-M_alt 'C m c m'
_space_group_IT_number 63
_space_group_name_Hall '-C 2c 2'
loop_
_atom_site_label
_atom_site_fract_x
_atom_site_fract_y
_atom_site_fract_z
Ac1 0.0000 0.0000 0.0000
Ac2 0.0000 0.1300 0.2500
Ac3 0.0000 0.2183 0.5634
Ac4 0.0000 0.4975 0.2500
Tb1 0.0000 0.3028 0.2500
Pm1 0.0000 0.3866 0.5055
Y1 0.0000 0.0988 0.7500
# - Density of states at the Fermi level: 51.3 states/eV/cell
# - Formation enthalpy at 0 K: 1.25 eV/f.u.


8.
# RbZnRuBr6, relaxed, DFT PBE
data_RbZnRuBr6
_cell_length_a 6.7434
_cell_length_b 6.7434
_cell_length_c 7.7917
_cell_angle_alpha 90.00
_cell_angle_beta 90.00
_cell_angle_gamma 120.00
_space_group_name_H-M_alt 'P 3 1 2'
_space_group_IT_number 149
loop_
_space_group_symop_operation_xyz
'x,y,z'
'-y,x-y,z'
'-x+y,-x,z'
'-y,-x,-z'
'-x+y,y,-z'
'x,x-y,-z'
loop_
_atom_site_label
_atom_site_fract_x
_atom_site_fract_y
_atom_site_fract_z
Rb1 0.0000 0.0000 0.0000
Zn1 0.6667 0.3333 0.5000
Ru1 0.3333 0.6667 0.5000
Br1 0.0138 0.3748 0.6860
# - Density of states at the Fermi level: 7.4 states/eV/cell
# - Uncorrected formation energy: -0.76 eV per atom


9.
# SrLaTlAu, relaxed, DFT PBE
data_SrLaTlAu
_cell_length_a 7.8325
_cell_length_b 7.8325
_cell_length_c 7.8325
_cell_angle_alpha 90.00
_cell_angle_beta 90.00
_cell_angle_gamma 90.00
_space_group_name_H-M_alt 'F -4 3 m'
_space_group_IT_number 216
_space_group_name_Hall 'F -4 2 3'
loop_
_atom_site_label
_atom_site_fract_x
_atom_site_fract_y
_atom_site_fract_z
Sr1 0.0000 0.0000 0.0000
La1 0.0000 0.0000 0.5000
Tl1 0.2500 0.2500 0.2500
Au1 0.2500 0.2500 0.7500
# - Density of states at the Fermi level: 19.8 states/eV/cell
# - Formation enthalpy at 0 K: -2.19 eV/f.u.


10.
# Pr3ScSi2, relaxed, DFT PBE
data_Pr3ScSi2
_cell_length_a 4.3020
_cell_length_b 4.5723
_cell_length_c 16.2988
_cell_angle_alpha 90.00
_cell_angle_beta 90.00
_cell_angle_gamma 90.00
_space_group_name_H-M_alt 'I m m m'
_space_group_IT_number 71
_space_group_name_Hall '-I 2 2'
loop_
_atom_site_label
_atom_site_fract_x
_atom_site_fract_y
_atom_site_fract_z
Pr1 0.0000 0.0000 0.0000
Pr2 0.0000 0.5000 0.3195
Sc1 0.0000 0.0000 0.5000
Si1 0.0000 0.5000 0.1285
# - Density of states at the Fermi level: 12.7 states/eV/cell
# - Uncorrected formation energy: -0.50 eV per atom


11.
# PuGaSnHg, relaxed, DFT PBE
data_PuGaSnHg
_cell_length_a 7.3304
_cell_length_b 7.3304
_cell_length_c 7.3304
_cell_angle_alpha 90.00
_cell_angle_beta 90.00
_cell_angle_gamma 90.00
_space_group_name_H-M_alt 'F -4 3 m'
_space_group_IT_number 216
_space_group_name_Hall 'F -4 2 3'
loop_
_atom_site_label
_atom_site_fract_x
_atom_site_fract_y
_atom_site_fract_z
Pu1 0.0000 0.0000 0.0000
Ga1 0.0000 0.0000 0.5000
Sn1 0.2500 0.2500 0.7500
Hg1 0.2500 0.2500 0.2500
# - Density of states at the Fermi level: 49.6 states/eV/cell
# - Formation enthalpy at 0 K: -0.34 eV/f.u.
# - Offset from the most stable computed form: 169.3 meV per atom


12.
# LaPb3Au8, relaxed, DFT PBE
data_LaPb3Au8
_cell_length_a 5.7674
_cell_length_b 5.7674
_cell_length_c 9.3298
_cell_angle_alpha 90.00
_cell_angle_beta 90.00
_cell_angle_gamma 120.00
_space_group_name_H-M_alt 'P 3 m 1'
_space_group_IT_number 156
loop_
_space_group_symop_operation_xyz
'x,y,z'
'-y,x-y,z'
'-x+y,-x,z'
'-y,-x,z'
'-x+y,y,z'
'x,x-y,z'
loop_
_atom_site_label
_atom_site_fract_x
_atom_site_fract_y
_atom_site_fract_z
La1 0.0000 0.0000 0.0000
Pb1 0.0000 0.0000 0.3888
Pb2 0.6667 0.3333 0.4802
Pb3 0.6667 0.3333 0.8612
Au1 0.1638 0.3276 0.6861
Au2 0.3333 0.6667 0.4329
Au3 0.3333 0.6667 0.9329
Au4 0.5025 0.0051 0.1808
# - Density of states at the Fermi level: 4.1 states/eV/cell
# - Formation enthalpy at 0 K: -3.13 eV/f.u.
# - Offset from the most stable computed form: 4.7 meV per atom